Record 1
## BeCo2Pb (PBE)

Data for a relaxed structure of BeCo2Pb.

Results
Energy relative to the lowest polymorph listed for this composition in eV/atom: 0.103
ρ in kg/m³: 10066
Magnetic moment in μB per atom: 0.456
Formation energy from the elements in eV per atom: 0.402
Space-group type: P2/m (10)

a = 3.5213 Å, b = 2.9145 Å, c = 5.7176 Å
α = 69.92°, β = 90.00°, γ = 90.00°
With the nearest neighbours (Å) after each atom.
Element x y z (fractional)
1 Co 0.0000 0.5793 0.5611  2 Be 2.21, 1 Co 2.35
2 Pb 0.5000 0.2500 0.2500  2 Be 2.73, 8 Co 2.77-2.89, 2 Pb 2.91
3 Co 0.0000 0.9207 0.9389  2 Be 2.21, 1 Co 2.35
4 Be 0.5000 0.7500 0.7500  4 Co 2.21

---

Record 2
## CeAl2SiAu4 (PBE)

Data for a relaxed structure of CeAl2SiAu4.

Results
ρ in kg/m³: 10754
Magnetic moment in μB per atom: 0.100
Energy relative to the elements, uncorrected in eV/atom: -0.36
Space-group type: R-3m (166)

a = 4.3751 Å, b = 4.3751 Å, c = 9.7415 Å
α = 77.02°, β = 77.02°, γ = 60.00°
With the nearest neighbours (Å) after each atom.
Element x y z (fractional)
1 Au 0.6028 0.6028 0.1917  3 Al 2.60, 1 Si 2.90
2 Al 0.2471 0.2471 0.2588  6 Au 2.60-2.78
3 Au 0.1275 0.1275 0.6174  3 Si 2.76, 3 Al 2.78
4 Au 0.3972 0.3972 0.8083  3 Al 2.60, 1 Si 2.90
5 Au 0.8725 0.8725 0.3826  3 Si 2.76, 3 Al 2.78
6 Si 0.5000 0.5000 0.5000  8 Au 2.76-2.90
7 Al 0.7529 0.7529 0.7412  6 Au 2.60-2.78
8 Ce 0.0000 0.0000 0.0000  6 Au 3.10

---

Record 3
## CaMnTc2 (PBE)

Data for a relaxed structure of CaMnTc2.

Results
Energy relative to the lowest polymorph listed for this composition in eV/atom: 0.154
ρ in kg/m³: 7251
Magnetic moment in μB per atom: 0.312
Formation energy from the elements in eV per atom: 0.479
Space-group type: C2/m (12)

a = 5.1444 Å, b = 5.1444 Å, c = 4.9450 Å
α = 72.61°, β = 72.61°, γ = 32.40°
With the nearest neighbours (Å) after each atom.
Element x y z (fractional)
1 Tc 0.9647 0.9647 0.0595  2 Mn 2.49, 2 Tc 2.63
2 Mn 0.2500 0.2500 0.2500  4 Tc 2.49
3 Ca 0.7500 0.7500 0.7500  4 Mn 2.86, 2 Ca 2.87, 6 Tc 2.98-3.11
4 Tc 0.5353 0.5353 0.4405  2 Mn 2.49, 2 Tc 2.63

---

Record 4
## Ag2TeI (PBE)

Data for a relaxed structure of Ag2TeI.

Results
Energy relative to the lowest polymorph listed for this composition in eV/atom: 0.022
ρ in kg/m³: 6194
Magnetic moment in μB per atom: 0.000
Energy relative to the elements, uncorrected in eV/atom: -0.11
Space-group type: C2/m (12)

a = 7.8804 Å, b = 4.7743 Å, c = 13.4889 Å
α = 90.00°, β = 96.43°, γ = 90.00°
With the nearest neighbours (Å) after each atom.
Element x y z (fractional)
1 Ag 0.4428 0.0000 0.6104  1 Te 2.86, 2 I 2.90, 2 Ag 2.91
2 Ag 0.4428 0.5000 0.1104  1 Te 2.86, 2 I 2.90, 2 Ag 2.91
3 Te 0.9216 0.0000 0.3998  3 Ag 2.78-2.86, 1 Te 2.84
4 Ag 0.5572 0.5000 0.8896  1 Te 2.86, 2 I 2.90, 2 Ag 2.91
5 I 0.6502 0.5000 0.6464  3 Ag 2.90-3.03
6 Te 0.0784 0.0000 0.6002  3 Ag 2.78-2.86, 1 Te 2.84
7 Te 0.9216 0.5000 0.8998  3 Ag 2.78-2.86, 1 Te 2.84
8 Te 0.0784 0.5000 0.1002  3 Ag 2.78-2.86, 1 Te 2.84
9 Ag 0.5572 0.0000 0.3896  1 Te 2.86, 2 I 2.90, 2 Ag 2.91
10 I 0.6502 0.0000 0.1464  3 Ag 2.90-3.03
11 Ag 0.2395 0.5000 0.5618  2 Te 2.78, 2 Ag 2.91, 1 I 3.03
12 I 0.3498 0.0000 0.8536  3 Ag 2.90-3.03
13 Ag 0.7605 0.0000 0.9382  2 Te 2.78, 2 Ag 2.91, 1 I 3.03
14 Ag 0.7605 0.5000 0.4382  2 Te 2.78, 2 Ag 2.91, 1 I 3.03
15 Ag 0.2395 0.0000 0.0618  2 Te 2.78, 2 Ag 2.91, 1 I 3.03
16 I 0.3498 0.5000 0.3536  3 Ag 2.90-3.03

---

Q: Which of these has the highest magnetic moment?
A: BeCo2Pb

---

Q: What is the formula in the second record?
A: CeAl2SiAu4

---

Q: Number 3 is which compound?
A: CaMnTc2

---

Q: Which of these has the lowest ρ?
A: Ag2TeI